No. 1
# HoTh2RuC2 | Alexandria | GGA-PBE | optimized geometry
# E = -48.49 eV per formula unit
# DFT formation energy = -0.224 eV per atom
data_HoTh2RuC2
_chemical_formula_sum 'Ho2 Th4 Ru2 C4'
_symmetry_space_group_name_H-M 'P n n m'
_symmetry_Int_Tables_number 58
_cell_length_a 5.866
_cell_length_b 11.050
_cell_length_c 3.747
_cell_angle_alpha 90.00
_cell_angle_beta 90.00
_cell_angle_gamma 90.00
loop_
_symmetry_equiv_pos_as_xyz
'x,y,z'
'-x,-y,-z'
'-x,-y,z'
'x,y,-z'
'x+1/2,-y+1/2,-z+1/2'
'-x+1/2,y+1/2,z+1/2'
'-x+1/2,y+1/2,-z+1/2'
'x+1/2,-y+1/2,z+1/2'
loop_
_atom_site_label
_atom_site_type_symbol
_atom_site_fract_x
_atom_site_fract_y
_atom_site_fract_z
_atom_site_occupancy
Ho1 Ho 0.000 0.000 0.000 1
Th1 Th 0.045 0.296 0.500 1
Ru1 Ru 0.000 0.500 0.000 1
C1 C 0.213 0.883 0.500 1

---

No. 2
# HgP2Os | Alexandria | GGA-PBE | optimized geometry
# E = -20.60 eV per formula unit
# DFT formation energy = 0.438 eV per atom
data_HgP2Os
_chemical_formula_sum 'Hg1 P2 Os1'
_symmetry_space_group_name_H-M 'P 1 2/m 1'
_symmetry_Int_Tables_number 10
_cell_length_a 3.427
_cell_length_b 4.276
_cell_length_c 5.542
_cell_angle_alpha 90.00
_cell_angle_beta 107.74
_cell_angle_gamma 90.00
loop_
_symmetry_equiv_pos_as_xyz
'x,y,z'
'-x,-y,-z'
'-x,y,-z'
'x,-y,z'
loop_
_atom_site_label
_atom_site_type_symbol
_atom_site_fract_x
_atom_site_fract_y
_atom_site_fract_z
_atom_site_occupancy
Hg1 Hg 0.000 0.000 0.000 1
P1 P 0.313 0.500 0.637 1
Os1 Os 0.500 0.000 0.500 1

---

Question: What is the E in the second record?
Answer: -20.60 eV per formula unit

---

Question: Among the records above, which one has the lowest DFT formation energy?
Answer: HoTh2RuC2